Density functional theory data (PBE) for crystalline Ni6SbRh at its relaxed geometry.

a b c (Å): 6.3638 6.3638 10.4010
angles (deg): 90.00 90.00 109.50
Last column: nearest neighbours and their distance in Å.
Element x y z (fractional)
1 Ni 0.0000 0.0000 0.2500  4 Rh 2.55-2.62, 8 Ni 2.57
2 Ni 0.5000 0.5000 0.2500  2 Sb 2.56, 2 Rh 2.58, 8 Ni 2.61
3 Ni 0.2472 0.7528 0.0042  8 Ni 2.55-2.65, 2 Rh 2.56-2.57, 2 Sb 2.63-2.64
4 Rh 0.0000 0.0000 0.4953  12 Ni 2.55-2.65
5 Sb 0.5000 0.5000 0.0041  12 Ni 2.56-2.64
6 Sb 0.2504 0.7496 0.7500  12 Ni 2.59-2.64
7 Ni 0.3702 0.1225 0.8777  8 Ni 2.57-2.66, 1 Rh 2.58, 3 Sb 2.60-2.64
8 Ni 0.6271 0.8801 0.1277  8 Ni 2.54-2.63, 3 Rh 2.57-2.59, 1 Sb 2.62
9 Ni 0.5000 0.5000 0.7500  4 Sb 2.59-2.64, 8 Ni 2.63
10 Sb 0.7496 0.2504 0.7500  12 Ni 2.59-2.64
11 Ni 0.3729 0.1199 0.3723  8 Ni 2.54-2.63, 3 Rh 2.57-2.59, 1 Sb 2.62
12 Ni 0.3729 0.1199 0.1277  8 Ni 2.54-2.63, 3 Rh 2.57-2.59, 1 Sb 2.62
13 Ni 0.6271 0.8801 0.3723  8 Ni 2.54-2.63, 3 Rh 2.57-2.59, 1 Sb 2.62
14 Ni 0.8801 0.6271 0.3723  8 Ni 2.54-2.63, 3 Rh 2.57-2.59, 1 Sb 2.62
15 Ni 0.6298 0.8775 0.6223  8 Ni 2.57-2.66, 1 Rh 2.58, 3 Sb 2.60-2.64
16 Ni 0.1225 0.3702 0.8777  8 Ni 2.57-2.66, 1 Rh 2.58, 3 Sb 2.60-2.64
17 Ni 0.1199 0.3729 0.1277  8 Ni 2.54-2.63, 3 Rh 2.57-2.59, 1 Sb 2.62
18 Ni 0.7528 0.2472 0.4958  8 Ni 2.55-2.65, 2 Rh 2.56-2.57, 2 Sb 2.63-2.64
19 Rh 0.0000 0.0000 0.0047  12 Ni 2.55-2.65
20 Ni 0.3702 0.1225 0.6223  8 Ni 2.57-2.66, 1 Rh 2.58, 3 Sb 2.60-2.64
21 Ni 0.0000 0.0000 0.7500  8 Ni 2.59, 2 Sb 2.60, 2 Rh 2.65
22 Rh 0.2516 0.7484 0.2500  12 Ni 2.56-2.62
23 Ni 0.1199 0.3729 0.3723  8 Ni 2.54-2.63, 3 Rh 2.57-2.59, 1 Sb 2.62
24 Ni 0.1225 0.3702 0.6223  8 Ni 2.57-2.66, 1 Rh 2.58, 3 Sb 2.60-2.64
25 Rh 0.7484 0.2516 0.2500  12 Ni 2.56-2.62
26 Ni 0.8775 0.6298 0.8777  8 Ni 2.57-2.66, 1 Rh 2.58, 3 Sb 2.60-2.64
27 Ni 0.7528 0.2472 0.0042  8 Ni 2.55-2.65, 2 Rh 2.56-2.57, 2 Sb 2.63-2.64
28 Ni 0.8801 0.6271 0.1277  8 Ni 2.54-2.63, 3 Rh 2.57-2.59, 1 Sb 2.62
29 Sb 0.5000 0.5000 0.4959  12 Ni 2.56-2.64
30 Ni 0.2472 0.7528 0.4958  8 Ni 2.55-2.65, 2 Rh 2.56-2.57, 2 Sb 2.63-2.64
31 Ni 0.6298 0.8775 0.8777  8 Ni 2.57-2.66, 1 Rh 2.58, 3 Sb 2.60-2.64
32 Ni 0.8775 0.6298 0.6223  8 Ni 2.57-2.66, 1 Rh 2.58, 3 Sb 2.60-2.64

Calculated values
* E_form (uncorrected): -0.038 eV/atom
* calculated total energy: -185.87 eV/cell
* V: 99 Å³/f.u.



Density functional theory data (PBE) for crystalline NiSb4Rh at its relaxed geometry.

a b c (Å): 6.3717 6.4068 6.4028
angles (deg): 90.00 88.29 90.00
Last column: nearest neighbours and their distance in Å.
Element x y z (fractional)
1 Rh 0.5000 0.0000 0.5000  6 Sb 2.65-2.70
2 Rh 0.0000 0.5000 0.5000  6 Sb 2.65-2.70
3 Ni 0.0000 0.0000 0.0000  6 Sb 2.57-2.64
4 Ni 0.5000 0.5000 0.0000  6 Sb 2.57-2.64
5 Sb 0.8629 0.6314 0.1277  2 Ni 2.61-2.64, 1 Rh 2.70, 1 Sb 2.90
6 Sb 0.6210 0.6288 0.6358  1 Ni 2.57, 2 Rh 2.65-2.67
7 Sb 0.6371 0.1314 0.8723  2 Ni 2.61-2.64, 1 Rh 2.70, 1 Sb 2.90
8 Sb 0.3790 0.3712 0.3642  1 Ni 2.57, 2 Rh 2.65-2.67
9 Sb 0.8790 0.1288 0.3642  1 Ni 2.57, 2 Rh 2.65-2.67
10 Sb 0.1371 0.3686 0.8723  2 Ni 2.61-2.64, 1 Rh 2.70, 1 Sb 2.90
11 Sb 0.3629 0.8686 0.1277  2 Ni 2.61-2.64, 1 Rh 2.70, 1 Sb 2.90
12 Sb 0.1210 0.8712 0.6358  1 Ni 2.57, 2 Rh 2.65-2.67

Calculated values
* E_form (uncorrected): -0.258 eV/atom
* calculated total energy: -62.34 eV/cell
* V: 131 Å³/f.u.
* energy above the lowest structure with this stoichiometry: 0.000 eV/atom



Density functional theory data (PBE) for crystalline Ni5Sb3Rh12 at its relaxed geometry.

a b c (Å): 12.3800 12.3800 12.3800
angles (deg): 109.47 109.47 109.47
Last column: nearest neighbours and their distance in Å.
Element x y z (fractional)
1 Sb 0.1250 0.2500 0.8750  8 Rh 2.59-2.68
2 Rh 0.5873 0.7204 0.6653  2 Ni 2.35-2.38, 1 Sb 2.59
3 Ni 0.0000 0.0000 0.5000  6 Rh 2.38
4 Rh 0.7204 0.5873 0.1653  2 Ni 2.35-2.38, 1 Sb 2.59
5 Rh 0.0873 0.1653 0.2204  2 Ni 2.35-2.38, 1 Sb 2.59
6 Rh 0.8347 0.9219 0.0551  2 Ni 2.35-2.38, 1 Sb 2.59
7 Rh 0.6332 0.5781 0.9127  2 Ni 2.35-2.38, 1 Sb 2.59
8 Ni 0.7500 0.6250 0.3750  4 Rh 2.35
9 Ni 0.8750 0.6250 0.7500  4 Rh 2.35
10 Rh 0.9127 0.0781 0.6332  2 Ni 2.35-2.38, 1 Sb 2.59
11 Ni 0.5000 0.5000 0.0000  6 Rh 2.38
12 Rh 0.9219 0.0873 0.8668  2 Ni 2.35-2.38, 1 Sb 2.59
13 Rh 0.9127 0.8347 0.7796  2 Ni 2.35-2.38, 1 Sb 2.59
14 Ni 0.6250 0.8750 0.2500  4 Rh 2.35
15 Sb 0.2500 0.6250 0.8750  8 Rh 2.59-2.68
16 Ni 0.2500 0.8750 0.1250  4 Rh 2.35
17 Rh 0.0551 0.6332 0.7204  2 Ni 2.35-2.38, 1 Sb 2.59
18 Rh 0.5551 0.2204 0.1332  2 Ni 2.35-2.38, 1 Sb 2.59
19 Rh 0.9449 0.3668 0.2796  2 Ni 2.35-2.38, 1 Sb 2.59
20 Rh 0.9219 0.8347 0.5551  2 Ni 2.35-2.38, 1 Sb 2.59
21 Rh 0.2796 0.4127 0.8347  2 Ni 2.35-2.38, 1 Sb 2.59
22 Rh 0.0873 0.9219 0.3668  2 Ni 2.35-2.38, 1 Sb 2.59
23 Ni 0.1250 0.7500 0.3750  4 Rh 2.35
24 Sb 0.7500 0.3750 0.1250  8 Rh 2.59-2.68
25 Rh 0.9449 0.5781 0.1653  2 Ni 2.35-2.38, 1 Sb 2.59
26 Rh 0.4127 0.1332 0.5781  2 Ni 2.35-2.38, 1 Sb 2.59
27 Sb 0.6250 0.2500 0.3750  8 Rh 2.59-2.68
28 Sb 0.7500 0.8750 0.6250  8 Rh 2.59-2.68
29 Sb 0.3750 0.7500 0.6250  8 Rh 2.59-2.68
30 Rh 0.5551 0.3347 0.9219  2 Ni 2.35-2.38, 1 Sb 2.59
31 Rh 0.5781 0.9449 0.6653  2 Ni 2.35-2.38, 1 Sb 2.59
32 Rh 0.3347 0.7796 0.4127  2 Ni 2.35-2.38, 1 Sb 2.59
33 Rh 0.3668 0.4219 0.0873  2 Ni 2.35-2.38, 1 Sb 2.59
34 Rh 0.7204 0.1332 0.0551  2 Ni 2.35-2.38, 1 Sb 2.59
35 Rh 0.5873 0.8668 0.4219  2 Ni 2.35-2.38, 1 Sb 2.59
36 Ni 0.3750 0.2500 0.1250  4 Rh 2.35
37 Rh 0.1653 0.0873 0.7204  2 Ni 2.35-2.38, 1 Sb 2.59
38 Ni 0.0000 0.5000 0.0000  6 Rh 2.38
39 Ni 0.8750 0.2500 0.6250  4 Rh 2.35
40 Rh 0.4127 0.2796 0.3347  2 Ni 2.35-2.38, 1 Sb 2.59
41 Ni 0.5000 0.0000 0.0000  6 Rh 2.38
42 Rh 0.2796 0.8668 0.9449  2 Ni 2.35-2.38, 1 Sb 2.59
43 Rh 0.4219 0.3668 0.5873  2 Ni 2.35-2.38, 1 Sb 2.59
44 Rh 0.4449 0.7796 0.8668  2 Ni 2.35-2.38, 1 Sb 2.59
45 Ni 0.7500 0.1250 0.8750  4 Rh 2.35
46 Rh 0.7796 0.3347 0.9127  2 Ni 2.35-2.38, 1 Sb 2.59
47 Ni 0.6250 0.7500 0.8750  4 Rh 2.35
48 Ni 0.1250 0.3750 0.2500  4 Rh 2.35
49 Rh 0.1653 0.0781 0.9449  2 Ni 2.35-2.38, 1 Sb 2.59
50 Ni 0.5000 0.5000 0.5000  6 Rh 2.38
51 Rh 0.6332 0.0551 0.2204  2 Ni 2.35-2.38, 1 Sb 2.59
52 Sb 0.8750 0.1250 0.2500  8 Rh 2.59-2.68
53 Ni 0.2500 0.3750 0.6250  4 Rh 2.35
54 Rh 0.5781 0.6332 0.4127  2 Ni 2.35-2.38, 1 Sb 2.59
55 Rh 0.0781 0.1653 0.4449  2 Ni 2.35-2.38, 1 Sb 2.59
56 Sb 0.6250 0.3750 0.7500  8 Rh 2.59-2.68
57 Rh 0.8347 0.9127 0.2796  2 Ni 2.35-2.38, 1 Sb 2.59
58 Ni 0.0000 0.0000 0.0000  6 Rh 2.38
59 Rh 0.6653 0.2204 0.5873  2 Ni 2.35-2.38, 1 Sb 2.59
60 Rh 0.4219 0.0551 0.3347  2 Ni 2.35-2.38, 1 Sb 2.59
61 Rh 0.7796 0.4449 0.3668  2 Ni 2.35-2.38, 1 Sb 2.59
62 Rh 0.2204 0.5551 0.6332  2 Ni 2.35-2.38, 1 Sb 2.59
63 Ni 0.0000 0.5000 0.5000  6 Rh 2.38
64 Rh 0.0551 0.4219 0.8347  2 Ni 2.35-2.38, 1 Sb 2.59
65 Sb 0.8750 0.7500 0.1250  8 Rh 2.59-2.68
66 Sb 0.2500 0.1250 0.3750  8 Rh 2.59-2.68
67 Rh 0.8668 0.2796 0.4449  2 Ni 2.35-2.38, 1 Sb 2.59
68 Rh 0.3347 0.5551 0.4219  2 Ni 2.35-2.38, 1 Sb 2.59
69 Ni 0.5000 0.0000 0.5000  6 Rh 2.38
70 Rh 0.4449 0.6653 0.0781  2 Ni 2.35-2.38, 1 Sb 2.59
71 Rh 0.1332 0.4127 0.0781  2 Ni 2.35-2.38, 1 Sb 2.59
72 Rh 0.3668 0.9449 0.7796  2 Ni 2.35-2.38, 1 Sb 2.59
73 Rh 0.8668 0.5873 0.9219  2 Ni 2.35-2.38, 1 Sb 2.59
74 Ni 0.3750 0.1250 0.7500  4 Rh 2.35
75 Rh 0.0781 0.9127 0.1332  2 Ni 2.35-2.38, 1 Sb 2.59
76 Rh 0.1332 0.7204 0.5551  2 Ni 2.35-2.38, 1 Sb 2.59
77 Sb 0.3750 0.6250 0.2500  8 Rh 2.59-2.68
78 Sb 0.1250 0.8750 0.7500  8 Rh 2.59-2.68
79 Rh 0.2204 0.6653 0.0873  2 Ni 2.35-2.38, 1 Sb 2.59
80 Rh 0.6653 0.4449 0.5781  2 Ni 2.35-2.38, 1 Sb 2.59

Calculated values
* E_form (uncorrected): 0.532 eV/atom
* calculated total energy: -475.41 eV/cell
* V: 365 Å³/f.u.



Q: Which formula does entry 3 have?
A: Ni5Sb3Rh12



Q: Among the records above, which one has the lowest E_form (uncorrected)?
A: NiSb4Rh



Q: Which of these has the highest V?
A: Ni5Sb3Rh12



Q: What is the calculated total energy in the first record?
A: -185.87 eV/cell